Entry 1:
BaVWO6 after structural relaxation. Source: the Alexandria database, functional GGA+U.

The structure in CIF format:
```
data_BaVWO6
_chemical_formula_sum 'Ba2 V2 W2 O12'
_symmetry_space_group_name_H-M 'C 1 2 1'
_symmetry_Int_Tables_number 5
_symmetry_space_group_name_Hall 'C 2y'
_cell_length_a 5.2185
_cell_length_b 9.2123
_cell_length_c 5.7874
_cell_angle_alpha 90.00
_cell_angle_beta 91.03
_cell_angle_gamma 90.00
loop_
_atom_site_label
_atom_site_type_symbol
_atom_site_fract_x
_atom_site_fract_y
_atom_site_fract_z
Ba1 Ba 0.0000 0.0000 0.0000
V1 V 0.0000 0.3371 0.5000
W1 W 0.0000 0.6647 0.5000
O1 O 0.1109 0.5026 0.3101
O2 O 0.1991 0.8042 0.3125
O3 O 0.2002 0.1951 0.3056
```

***

Entry 2:
Ba3YV2O9 after structural relaxation. Source: the Alexandria database, functional GGA+U.

The structure in CIF format:
```
data_Ba3YV2O9
_chemical_formula_sum 'Ba3 Y1 V2 O9'
_symmetry_space_group_name_H-M 'P -3 m 1'
_symmetry_Int_Tables_number 164
_symmetry_space_group_name_Hall '-P 3 2"'
_cell_length_a 5.8275
_cell_length_b 5.8275
_cell_length_c 7.1615
_cell_angle_alpha 90.00
_cell_angle_beta 90.00
_cell_angle_gamma 120.00
loop_
_atom_site_label
_atom_site_type_symbol
_atom_site_fract_x
_atom_site_fract_y
_atom_site_fract_z
Ba1 Ba 0.0000 0.0000 0.0000
Ba2 Ba 0.3333 0.6667 0.6821
Y1 Y 0.0000 0.0000 0.5000
V1 V 0.3333 0.6667 0.1640
O1 O 0.0000 0.5000 0.0000
O2 O 0.1786 0.3572 0.3130
```

***

Entry 3:
BaVZn2O after structural relaxation. Source: the Alexandria database, functional GGA+U.

The structure in CIF format:
```
data_BaVZn2O
_chemical_formula_sum 'Ba1 V1 Zn2 O1'
_symmetry_space_group_name_H-M 'P 4/m m m'
_symmetry_Int_Tables_number 123
_symmetry_space_group_name_Hall '-P 4 2'
_cell_length_a 5.7858
_cell_length_b 5.7858
_cell_length_c 3.7149
_cell_angle_alpha 90.00
_cell_angle_beta 90.00
_cell_angle_gamma 90.00
loop_
_atom_site_label
_atom_site_type_symbol
_atom_site_fract_x
_atom_site_fract_y
_atom_site_fract_z
Ba1 Ba 0.0000 0.0000 0.0000
V1 V 0.5000 0.5000 0.0000
Zn1 Zn 0.0000 0.5000 0.5000
O1 O 0.5000 0.5000 0.5000
```

***

Entry 4:
Ba3V2ZnO8 after structural relaxation. Source: the Alexandria database, functional GGA+U.

The structure in CIF format:
```
data_Ba3V2ZnO8
_chemical_formula_sum 'Ba3 V2 Zn1 O8'
_symmetry_space_group_name_H-M 'P -3 m 1'
_symmetry_Int_Tables_number 164
_symmetry_space_group_name_Hall '-P 3 2"'
_cell_length_a 5.8334
_cell_length_b 5.8334
_cell_length_c 9.2413
_cell_angle_alpha 90.00
_cell_angle_beta 90.00
_cell_angle_gamma 120.00
loop_
_atom_site_label
_atom_site_type_symbol
_atom_site_fract_x
_atom_site_fract_y
_atom_site_fract_z
Ba1 Ba 0.0000 0.0000 0.0000
Ba2 Ba 0.3333 0.6667 0.7095
V1 V 0.3333 0.6667 0.1698
Zn1 Zn 0.0000 0.0000 0.5000
O1 O 0.1729 0.3458 0.2369
O2 O 0.3333 0.6667 0.9801
```

***

Entry 5:
Ba2VZn2O6 after structural relaxation. Source: the Alexandria database, functional GGA+U.

The structure in CIF format:
```
data_Ba2VZn2O6
_chemical_formula_sum 'Ba6 V3 Zn6 O18'
_symmetry_space_group_name_H-M 'R -3 m'
_symmetry_Int_Tables_number 166
_symmetry_space_group_name_Hall '-R 3 2"'
_cell_length_a 5.9466
_cell_length_b 5.9466
_cell_length_c 16.0879
_cell_angle_alpha 90.00
_cell_angle_beta 90.00
_cell_angle_gamma 120.00
loop_
_atom_site_label
_atom_site_type_symbol
_atom_site_fract_x
_atom_site_fract_y
_atom_site_fract_z
Ba1 Ba 0.0000 0.0000 0.2173
V1 V 0.0000 0.0000 0.0000
Zn1 Zn 0.0000 0.0000 0.4118
O1 O 0.0310 0.5155 0.7432
```

***

Entry 6:
Ba3V2ZnO9 after structural relaxation. Source: the Alexandria database, functional GGA+U.

The structure in CIF format:
```
data_Ba3V2ZnO9
_chemical_formula_sum 'Ba3 V2 Zn1 O9'
_symmetry_space_group_name_H-M 'P -3 m 1'
_symmetry_Int_Tables_number 164
_symmetry_space_group_name_Hall '-P 3 2"'
_cell_length_a 5.7026
_cell_length_b 5.7026
_cell_length_c 7.0056
_cell_angle_alpha 90.00
_cell_angle_beta 90.00
_cell_angle_gamma 120.00
loop_
_atom_site_label
_atom_site_type_symbol
_atom_site_fract_x
_atom_site_fract_y
_atom_site_fract_z
Ba1 Ba 0.0000 0.0000 0.0000
Ba2 Ba 0.3333 0.6667 0.6734
V1 V 0.3333 0.6667 0.1772
Zn1 Zn 0.0000 0.0000 0.5000
O1 O 0.0000 0.5000 0.0000
O2 O 0.1767 0.3533 0.3190
```

***

Entry 7:
Ba3VZn2O8 after structural relaxation. Source: the Alexandria database, functional GGA+U.

The structure in CIF format:
```
data_Ba3VZn2O8
_chemical_formula_sum 'Ba3 V1 Zn2 O8'
_symmetry_space_group_name_H-M 'P -3 m 1'
_symmetry_Int_Tables_number 164
_symmetry_space_group_name_Hall '-P 3 2"'
_cell_length_a 5.7424
_cell_length_b 5.7424
_cell_length_c 7.5833
_cell_angle_alpha 90.00
_cell_angle_beta 90.00
_cell_angle_gamma 120.00
loop_
_atom_site_label
_atom_site_type_symbol
_atom_site_fract_x
_atom_site_fract_y
_atom_site_fract_z
Ba1 Ba 0.0000 0.0000 0.0000
Ba2 Ba 0.3333 0.6667 0.6488
V1 V 0.0000 0.0000 0.5000
Zn1 Zn 0.3333 0.6667 0.2277
O1 O 0.1553 0.3105 0.3495
O2 O 0.3333 0.6667 0.9833
```

***

Entry 8:
Ba2ZrV3O12 after structural relaxation. Source: the Alexandria database, functional GGA+U.

The structure in CIF format:
```
data_Ba2ZrV3O12
_chemical_formula_sum 'Ba6 Zr3 V9 O36'
_symmetry_space_group_name_H-M 'R -3 m'
_symmetry_Int_Tables_number 166
_symmetry_space_group_name_Hall '-R 3 2"'
_cell_length_a 7.1129
_cell_length_b 7.1129
_cell_length_c 17.4857
_cell_angle_alpha 90.00
_cell_angle_beta 90.00
_cell_angle_gamma 120.00
loop_
_atom_site_label
_atom_site_type_symbol
_atom_site_fract_x
_atom_site_fract_y
_atom_site_fract_z
Ba1 Ba 0.0000 0.0000 0.1255
Zr1 Zr 0.0000 0.0000 0.5000
V1 V 0.0000 0.5000 0.0000
O1 O 0.0309 0.5155 0.1083
O2 O 0.0808 0.5404 0.3423
```

***

Entry 9:
# BaWO2, relaxed, DFT GGA+U
data_BaWO2
_chemical_formula_sum 'Ba4 W4 O8'
_symmetry_space_group_name_H-M 'F m -3 m'
_symmetry_Int_Tables_number 225
_symmetry_space_group_name_Hall '-F 4 2 3'
_cell_length_a 6.2566
_cell_length_b 6.2566
_cell_length_c 6.2566
_cell_angle_alpha 90.00
_cell_angle_beta 90.00
_cell_angle_gamma 90.00
loop_
_atom_site_label
_atom_site_type_symbol
_atom_site_fract_x
_atom_site_fract_y
_atom_site_fract_z
Ba1 Ba 0.0000 0.0000 0.0000
W1 W 0.0000 0.0000 0.5000
O1 O 0.2500 0.2500 0.2500
# energy above the lowest structure with this stoichiometry	1202.9	meV/atom

***

Entry 10:
BaWO3 after structural relaxation. Source: the Alexandria database, functional GGA+U.

The structure in CIF format:
```
data_BaWO3
_chemical_formula_sum 'Ba1 W1 O3'
_symmetry_space_group_name_H-M 'P m -3 m'
_symmetry_Int_Tables_number 221
_symmetry_space_group_name_Hall '-P 4 2 3'
_cell_length_a 4.5698
_cell_length_b 4.5698
_cell_length_c 4.5698
_cell_angle_alpha 90.00
_cell_angle_beta 90.00
_cell_angle_gamma 90.00
loop_
_atom_site_label
_atom_site_type_symbol
_atom_site_fract_x
_atom_site_fract_y
_atom_site_fract_z
Ba1 Ba 0.0000 0.0000 0.0000
W1 W 0.5000 0.5000 0.5000
O1 O 0.0000 0.0000 0.5000
```

***

Entry 11:
Ba3WO6 after structural relaxation. Source: the Alexandria database, functional GGA+U.

The structure in CIF format:
```
data_Ba3WO6
_chemical_formula_sum 'Ba6 W2 O12'
_symmetry_space_group_name_H-M 'P 1 m 1'
_symmetry_Int_Tables_number 6
_symmetry_space_group_name_Hall 'P -2y'
_cell_length_a 6.6021
_cell_length_b 8.0595
_cell_length_c 6.9451
_cell_angle_alpha 90.00
_cell_angle_beta 95.29
_cell_angle_gamma 90.00
loop_
_atom_site_label
_atom_site_type_symbol
_atom_site_fract_x
_atom_site_fract_y
_atom_site_fract_z
Ba1 Ba 0.0000 0.0000 0.0000
Ba2 Ba 0.0989 0.2644 0.4811
Ba3 Ba 0.5172 0.2738 0.8653
Ba4 Ba 0.6195 0.5000 0.3627
W1 W 0.0211 0.5000 0.9736
W2 W 0.5423 0.0000 0.4110
O1 O 0.1151 0.2886 0.8521
O2 O 0.2673 0.0000 0.2876
O3 O 0.2996 0.5000 0.1065
O4 O 0.3427 0.5000 0.5859
O5 O 0.3919 0.0000 0.6479
O6 O 0.6325 0.0000 0.1587
O7 O 0.6819 0.1878 0.5005
O8 O 0.8044 0.5000 0.7648
O9 O 0.8883 0.3397 0.1372
```

***

Entry 12:
BaW4O12 after structural relaxation. Source: the Alexandria database, functional GGA+U.

The structure in CIF format:
```
data_BaW4O12
_chemical_formula_sum 'Ba2 W8 O24'
_symmetry_space_group_name_H-M 'I m -3 m'
_symmetry_Int_Tables_number 229
_symmetry_space_group_name_Hall '-I 4 2 3'
_cell_length_a 7.8666
_cell_length_b 7.8666
_cell_length_c 7.8666
_cell_angle_alpha 90.00
_cell_angle_beta 90.00
_cell_angle_gamma 90.00
loop_
_atom_site_label
_atom_site_type_symbol
_atom_site_fract_x
_atom_site_fract_y
_atom_site_fract_z
Ba1 Ba 0.0000 0.0000 0.0000
W1 W 0.2500 0.2500 0.2500
O1 O 0.0000 0.2484 0.2484
```

***

Entry 13:
BaWO3 after structural relaxation. Source: the Alexandria database, functional GGA+U.

The structure in CIF format:
```
data_BaWO3
_chemical_formula_sum 'Ba2 W2 O6'
_symmetry_space_group_name_H-M 'P 1'
_symmetry_Int_Tables_number 1
_symmetry_space_group_name_Hall 'P 1'
_cell_length_a 3.3664
_cell_length_b 7.1236
_cell_length_c 7.1349
_cell_angle_alpha 69.14
_cell_angle_beta 76.49
_cell_angle_gamma 76.75
loop_
_atom_site_label
_atom_site_type_symbol
_atom_site_fract_x
_atom_site_fract_y
_atom_site_fract_z
Ba1 Ba 0.0000 0.0000 0.0000
Ba2 Ba 0.4935 0.5073 0.5072
W1 W 0.2586 0.9924 0.4949
W2 W 0.2646 0.4953 0.9920
O1 O 0.2461 0.7598 0.7593
O2 O 0.2941 0.2109 0.2105
O3 O 0.6301 0.6086 0.1135
O4 O 0.6630 0.1140 0.6078
O5 O 0.8625 0.8484 0.3996
O6 O 0.8951 0.3999 0.8481
```

***

Entry 14:
BaW2O after structural relaxation. Source: the Alexandria database, functional GGA+U.

The structure in CIF format:
```
data_BaW2O
_chemical_formula_sum 'Ba4 W8 O4'
_symmetry_space_group_name_H-M 'I 41/a m d'
_symmetry_Int_Tables_number 141
_cell_length_a 6.6628
_cell_length_b 6.6628
_cell_length_c 9.4113
_cell_angle_alpha 90.00
_cell_angle_beta 90.00
_cell_angle_gamma 90.00
loop_
_symmetry_equiv_pos_as_xyz
'x,y,z'
'-x,-y,-z'
'-y+1/4,x+3/4,z+1/4'
'y+1/4,-x+3/4,-z+1/4'
'-x+1/2,-y,z+1/2'
'x+1/2,y,-z+1/2'
'y+1/4,-x+1/4,z+3/4'
'-y+1/4,x+1/4,-z+3/4'
'x,-y,-z'
'-x,y,z'
'-y+1/4,-x+1/4,-z+3/4'
'y+1/4,x+1/4,z+3/4'
'-x+1/2,y,-z+1/2'
'x+1/2,-y,z+1/2'
'y+1/4,x+3/4,-z+1/4'
'-y+1/4,-x+3/4,z+1/4'
'x+1/2,y+1/2,z+1/2'
'-x+1/2,-y+1/2,-z+1/2'
'-y+3/4,x+1/4,z+3/4'
'y+3/4,-x+1/4,-z+3/4'
'-x,-y+1/2,z'
'x,y+1/2,-z'
'y+3/4,-x+3/4,z+1/4'
'-y+3/4,x+3/4,-z+1/4'
'x+1/2,-y+1/2,-z+1/2'
'-x+1/2,y+1/2,z+1/2'
'-y+3/4,-x+3/4,-z+1/4'
'y+3/4,x+3/4,z+1/4'
'-x,y+1/2,-z'
'x,-y+1/2,z'
'y+3/4,x+1/4,-z+3/4'
'-y+3/4,-x+1/4,z+3/4'
loop_
_atom_site_label
_atom_site_type_symbol
_atom_site_fract_x
_atom_site_fract_y
_atom_site_fract_z
Ba1 Ba 0.0000 0.2500 0.3750
W1 W 0.0000 0.0000 0.0000
O1 O 0.0000 0.2500 0.8750
```

***

Entry 15:
# BaWO2, relaxed, DFT GGA+U
data_BaWO2
_chemical_formula_sum 'Ba3 W3 O6'
_symmetry_space_group_name_H-M 'R -3 m'
_symmetry_Int_Tables_number 166
_symmetry_space_group_name_Hall '-R 3 2"'
_cell_length_a 3.5167
_cell_length_b 3.5167
_cell_length_c 20.5488
_cell_angle_alpha 90.00
_cell_angle_beta 90.00
_cell_angle_gamma 120.00
loop_
_atom_site_label
_atom_site_type_symbol
_atom_site_fract_x
_atom_site_fract_y
_atom_site_fract_z
Ba1 Ba 0.0000 0.0000 0.0000
W1 W 0.0000 0.0000 0.5000
O1 O 0.0000 0.0000 0.1236
# energy above the lowest structure with this stoichiometry	339.6	meV/atom

***

Entry 16:
# BaW6O18, relaxed, DFT GGA+U
data_BaW6O18
_chemical_formula_sum 'Ba1 W6 O18'
_symmetry_space_group_name_H-M 'P 6 m m'
_symmetry_Int_Tables_number 183
_symmetry_space_group_name_Hall 'P 6 -2'
_cell_length_a 7.5249
_cell_length_b 7.5249
_cell_length_c 7.7444
_cell_angle_alpha 90.00
_cell_angle_beta 90.00
_cell_angle_gamma 120.00
loop_
_atom_site_label
_atom_site_type_symbol
_atom_site_fract_x
_atom_site_fract_y
_atom_site_fract_z
Ba1 Ba 0.0000 0.0000 0.0000
W1 W 0.0000 0.5000 0.1407
W2 W 0.0000 0.5000 0.6394
O1 O 0.0000 0.5000 0.3885
O2 O 0.0000 0.5000 0.8904
O3 O 0.2080 0.4161 0.1361
O4 O 0.2121 0.4242 0.6417
# energy above the lowest structure with this stoichiometry	10.5	meV/atom

***

Entry 17:
# BaWO2, relaxed, DFT GGA+U
data_BaWO2
_chemical_formula_sum 'Ba3 W3 O6'
_symmetry_space_group_name_H-M 'R -3 m'
_symmetry_Int_Tables_number 166
_symmetry_space_group_name_Hall '-R 3 2"'
_cell_length_a 4.1332
_cell_length_b 4.1332
_cell_length_c 18.8656
_cell_angle_alpha 90.00
_cell_angle_beta 90.00
_cell_angle_gamma 120.00
loop_
_atom_site_label
_atom_site_type_symbol
_atom_site_fract_x
_atom_site_fract_y
_atom_site_fract_z
Ba1 Ba 0.0000 0.0000 0.0000
W1 W 0.0000 0.0000 0.5000
O1 O 0.0000 0.0000 0.4001
# energy above the lowest structure with this stoichiometry	0.0	meV/atom

***

Entry 18:
BaW6O19 after structural relaxation. Source: the Alexandria database, functional GGA+U.

The structure in CIF format:
```
data_BaW6O19
_chemical_formula_sum 'Ba2 W12 O38'
_symmetry_space_group_name_H-M 'C 1 m 1'
_symmetry_Int_Tables_number 8
_symmetry_space_group_name_Hall 'C -2y'
_cell_length_a 7.4999
_cell_length_b 12.9209
_cell_length_c 7.7585
_cell_angle_alpha 90.00
_cell_angle_beta 91.23
_cell_angle_gamma 90.00
loop_
_atom_site_label
_atom_site_type_symbol
_atom_site_fract_x
_atom_site_fract_y
_atom_site_fract_z
Ba1 Ba 0.0000 0.0000 0.0000
W1 W 0.0428 0.5000 0.2221
W2 W 0.0783 0.5000 0.6985
W3 W 0.3138 0.2540 0.2357
W4 W 0.3207 0.2491 0.7315
O1 O 0.0271 0.5000 0.9553
O2 O 0.0654 0.2055 0.2282
O3 O 0.0724 0.2088 0.7347
O4 O 0.1228 0.5000 0.4692
O5 O 0.2417 0.3958 0.1867
O6 O 0.2593 0.3975 0.7638
O7 O 0.3031 0.2750 0.4846
O8 O 0.3289 0.2342 0.9797
O9 O 0.3482 0.0000 0.0180
O10 O 0.3864 0.1152 0.2822
O11 O 0.3997 0.1081 0.6891
```

***

Entry 19:
Ba6W3O14 after structural relaxation. Source: the Alexandria database, functional GGA+U.

The structure in CIF format:
```
data_Ba6W3O14
_chemical_formula_sum 'Ba6 W3 O14'
_symmetry_space_group_name_H-M 'P 3'
_symmetry_Int_Tables_number 143
_symmetry_space_group_name_Hall 'P 3'
_cell_length_a 9.9799
_cell_length_b 9.9799
_cell_length_c 5.1673
_cell_angle_alpha 90.00
_cell_angle_beta 90.00
_cell_angle_gamma 120.00
loop_
_atom_site_label
_atom_site_type_symbol
_atom_site_fract_x
_atom_site_fract_y
_atom_site_fract_z
Ba1 Ba 0.0025 0.4279 0.0000
Ba2 Ba 0.3309 0.2356 0.5389
W1 W 0.0000 0.0000 0.0957
W2 W 0.3333 0.6667 0.5668
W3 W 0.6667 0.3333 0.2651
O1 O 0.0000 0.0000 0.7434
O2 O 0.0588 0.1931 0.2154
O3 O 0.1978 0.7226 0.6914
O4 O 0.3333 0.6667 0.2152
O5 O 0.4619 0.2757 0.0485
O6 O 0.5215 0.1281 0.4815
```

***

Entry 20:
BaWO6 after structural relaxation. Source: the Alexandria database, functional GGA+U.

The structure in CIF format:
```
data_BaWO6
_chemical_formula_sum 'Ba4 W4 O24'
_symmetry_space_group_name_H-M 'F m -3 m'
_symmetry_Int_Tables_number 225
_symmetry_space_group_name_Hall '-F 4 2 3'
_cell_length_a 9.2964
_cell_length_b 9.2964
_cell_length_c 9.2964
_cell_angle_alpha 90.00
_cell_angle_beta 90.00
_cell_angle_gamma 90.00
loop_
_atom_site_label
_atom_site_type_symbol
_atom_site_fract_x
_atom_site_fract_y
_atom_site_fract_z
Ba1 Ba 0.0000 0.0000 0.0000
W1 W 0.0000 0.0000 0.5000
O1 O 0.0000 0.0000 0.2922
```

***

Calculated density across the listed records, respectively: 5.6, 5.9, 4.5, 4.3, 5.6, 6.1, 5.5, 4.6, 9.6, 6.4, 6.2, 7.3, 8.0, 8.3, 8.0, 6.7, 6.3, 6.8, 6.0, 3.4 g/cm³.
VASP energy across the listed records, respectively: -7.48, -7.40, -3.47, -6.63, -5.92, -6.71, -5.94, -7.43, -5.32, -3.61, -6.75, -7.42, -7.02, -4.94, -6.18, -7.48, -6.52, -7.33, -6.89, -6.07 eV per atom.